4
Lattice="0.000 3.611 3.611 3.611 0.000 3.611 3.611 3.611 0.000" Properties=species:S:1:pos:R:3 comment="PBE NaTlGe2, optimized geometry" rho_kg_m3=6573 formation_enthalpy_0k_mev_per_atom=217.8 total_energy_ev_per_cell=-12.05 spacegroup="Fm-3m (225)" dos_at_fermi_per_ev_cell=1.91 pbc="T T T"
Na 0.000 0.000 0.000
Tl 3.611 3.611 3.611
Ge 1.805 1.805 1.805
Ge 5.416 5.416 5.416



6
Lattice="3.272 0.000 0.000 0.000 3.272 0.000 0.000 0.000 9.808" Properties=species:S:1:pos:R:3 comment="PBE Hf3Re2Tc, optimized geometry" rho_kg_m3=15911 formation_enthalpy_0k_mev_per_atom=-374.5 total_energy_ev_per_cell=-67.37 spacegroup="P4/mmm (123)" dos_at_fermi_per_ev_cell=5.19 pbc="T T T"
Hf 0.000 0.000 0.000
Hf 0.000 0.000 3.278
Hf 0.000 0.000 6.530
Re 1.636 1.636 1.642
Re 1.636 1.636 8.166
Tc 1.636 1.636 4.904



16
Lattice="4.048 -4.293 0.000 4.048 4.293 0.000 -3.616 0.000 6.745" Properties=species:S:1:pos:R:3 comment="PBE MgInSeO5, optimized geometry" rho_kg_m3=4223 raw_formation_energy_ev_per_fu=-10.357 total_energy_ev_per_cell=-85.93 spacegroup="C2/c (15)" dos_at_fermi_per_ev_cell=3.49 pbc="T T T"
Mg 1.336 2.664 5.059
Mg 3.144 -2.664 1.686
In 4.048 0.000 0.000
In 2.240 0.000 3.373
Se 3.144 3.056 1.686
Se 1.336 -3.056 5.059
O -1.629 0.018 5.692
O 0.179 -0.018 2.319
O 2.277 2.258 3.135
O 4.012 2.258 0.238
O 1.336 0.710 5.059
O 3.144 -0.710 1.686
O 0.468 -2.258 6.508
O 2.203 -2.258 3.611
O 4.301 0.018 4.426
O 6.109 -0.018 1.054



4
Lattice="3.189 0.000 0.000 0.000 3.189 0.000 0.000 0.000 8.661" Properties=species:S:1:pos:R:3 comment="PBE Dy2HoO, optimized geometry" rho_kg_m3=9541 raw_formation_energy_ev_per_fu=-3.310 total_energy_ev_per_cell=-22.05 spacegroup="P4/mmm (123)" dos_at_fermi_per_ev_cell=5.00 pbc="T T T"
Dy 0.000 0.000 1.528
Dy 0.000 0.000 7.133
Ho 1.594 1.594 4.330
O 1.594 1.594 0.000



4
Lattice="3.147 0.000 0.000 0.000 3.147 0.000 0.000 0.000 6.820" Properties=species:S:1:pos:R:3 comment="PBE HoVTc2, optimized geometry" rho_kg_m3=10128 formation_enthalpy_0k_mev_per_atom=-52.9 total_energy_ev_per_cell=-34.64 spacegroup="P4/mmm (123)" dos_at_fermi_per_ev_cell=3.08 pbc="T T T"
Ho 0.000 0.000 0.000
V 0.000 0.000 3.410
Tc 1.573 1.573 2.014
Tc 1.573 1.573 4.806



4
Lattice="4.857 -1.815 0.000 4.857 1.815 0.000 -0.987 0.000 5.126" Properties=species:S:1:pos:R:3 comment="PBE IrAuSe2, optimized geometry" rho_kg_m3=10051 raw_formation_energy_ev_per_fu=0.426 total_energy_ev_per_cell=-18.68 spacegroup="Cm (8)" dos_at_fermi_per_ev_cell=2.32 pbc="T T T"
Ir 0.000 0.000 0.000
Au 6.054 0.000 4.667
Se 3.190 0.000 3.560
Se 5.220 0.000 1.586



11
Lattice="4.511 -2.540 0.000 4.511 2.540 0.000 -2.724 0.000 5.254" Properties=species:S:1:pos:R:3 comment="PBE LiCa2B2O6, optimized geometry" rho_kg_m3=2823 raw_formation_energy_ev_per_fu=-27.653 total_energy_ev_per_cell=-76.67 spacegroup="C2/m (12)" dos_at_fermi_per_ev_cell=3.93 pbc="T T T"
Li 0.000 0.000 0.000
Ca -0.058 0.000 3.568
Ca 6.356 0.000 1.686
B 3.549 0.000 1.279
B 2.749 0.000 3.975
O 2.118 1.191 3.684
O 2.321 0.000 0.651
O 4.180 1.191 1.570
O 2.118 -1.191 3.684
O 3.978 0.000 4.603
O 4.180 -1.191 1.570



4
Lattice="0.000 4.389 4.389 4.389 0.000 4.389 4.389 4.389 0.000" Properties=species:S:1:pos:R:3 comment="PBE BaAcNd2, optimized geometry" rho_kg_m3=6413 formation_enthalpy_0k_mev_per_atom=223.9 total_energy_ev_per_cell=-14.67 spacegroup="Fm-3m (225)" dos_at_fermi_per_ev_cell=8.39 pbc="T T T"
Ba 0.000 0.000 0.000
Ac 4.389 4.389 4.389
Nd 2.194 2.194 2.194
Nd 6.583 6.583 6.583



5
Lattice="-2.167 2.167 5.791 2.167 -2.167 5.791 2.167 2.167 -5.791" Properties=species:S:1:pos:R:3 comment="PBE Zr2Mo2Se, optimized geometry" rho_kg_m3=6917 raw_formation_energy_ev_per_fu=4.368 total_energy_ev_per_cell=-37.88 spacegroup="I4/mmm (139)" dos_at_fermi_per_ev_cell=6.42 pbc="T T T"
Zr 2.167 0.000 2.896
Zr 0.000 2.167 2.896
Mo 0.000 0.000 1.153
Mo 0.000 0.000 10.430
Se 0.000 0.000 5.791



8
Lattice="-2.662 2.662 6.486 2.662 -2.662 6.486 2.662 2.662 -6.486" Properties=species:S:1:pos:R:3 comment="PBE Ta2BeI, optimized geometry" rho_kg_m3=8996 raw_formation_energy_ev_per_fu=5.195 total_energy_ev_per_cell=-47.57 spacegroup="I-42d (122)" dos_at_fermi_per_ev_cell=5.68 pbc="T T T"
Ta 3.992 0.770 -1.622
Ta 0.770 1.331 1.622
Ta -1.331 1.891 4.865
Ta 1.891 1.331 8.108
Be 0.000 0.000 0.000
Be 0.000 2.662 3.243
I 2.662 0.000 3.243
I 0.000 0.000 6.486



6
Lattice="3.102 -9.335 0.000 3.102 9.335 0.000 0.000 0.000 4.043" Properties=species:S:1:pos:R:3 comment="PBE Ca5Ho, optimized geometry" rho_kg_m3=2592 formation_enthalpy_0k_mev_per_atom=93.6 total_energy_ev_per_cell=-14.02 spacegroup="Cmmm (65)" dos_at_fermi_per_ev_cell=8.63 pbc="T T T"
Ca 0.000 0.000 0.000
Ca 3.102 6.204 2.021
Ca 3.102 2.966 0.000
Ca 3.102 -2.966 0.000
Ca 3.102 -6.204 2.021
Ho 3.102 0.000 2.021



8
Lattice="0.000 5.041 5.041 5.041 0.000 5.041 5.041 5.041 0.000" Properties=species:S:1:pos:R:3 comment="PBE Y7Ho, optimized geometry" rho_kg_m3=5103 formation_enthalpy_0k_mev_per_atom=26.9 total_energy_ev_per_cell=-49.61 spacegroup="Fm-3m (225)" dos_at_fermi_per_ev_cell=14.19 pbc="T T T"
Y 0.000 0.000 0.000
Y 2.520 2.520 0.000
Y 2.520 0.000 2.520
Y 5.041 2.520 2.520
Y 0.000 2.520 2.520
Y 2.520 5.041 2.520
Y 2.520 2.520 5.041
Ho 5.041 5.041 5.041